# 1
Density functional theory data (PBE-GGA) for a geometry-optimized Tl2Ir3Se6 structure.

Results
* uncorrected formation energy: -0.299 eV per atom
* SG: C2/m, No. 12

a = 6.6115 Å, b = 6.6115 Å, c = 7.5988 Å
α = 98.42°, β = 98.42°, γ = 120.10°
Last column: nearest neighbours and their distance in Å.
Fractional coordinates of all 11 atoms:
Tl  0.1642  0.8358  0.0000  6 Se 3.24-3.27
Tl  0.8358  0.1642  0.0000  6 Se 3.24-3.27
Ir  0.0000  0.0000  0.5000  6 Se 2.52-2.53
Ir  0.3304  0.6696  0.5000  6 Se 2.50-2.55
Ir  0.6696  0.3304  0.5000  6 Se 2.50-2.55
Se  0.0577  0.3907  0.6705  3 Ir 2.50-2.53
Se  0.2763  0.2763  0.3304  3 Ir 2.52-2.55
Se  0.3907  0.0577  0.6705  3 Ir 2.50-2.53
Se  0.6093  0.9423  0.3295  3 Ir 2.50-2.53
Se  0.7237  0.7237  0.6696  3 Ir 2.52-2.55
Se  0.9423  0.6093  0.3295  3 Ir 2.50-2.53


# 2
Density functional theory data (PBE-GGA) for a geometry-optimized LaMnHg structure.

Results
* E_form: -0.057 eV per atom
* SG: P-6m2, No. 187

a = 4.7493 Å, b = 4.7493 Å, c = 3.9357 Å
α = 90.00°, β = 90.00°, γ = 120.00°
Last column: nearest neighbours and their distance in Å.
Fractional coordinates of all 3 atoms:
La  0.0000  0.0000  0.0000  6 Mn 3.38, 6 Hg 3.38
Mn  0.6667  0.3333  0.5000  3 Hg 2.74
Hg  0.3333  0.6667  0.5000  3 Mn 2.74


# 3
Density functional theory data (PBE-GGA) for a geometry-optimized Ac3InSn structure.

Results
* polymorph energy (0 for the lowest one): 0 meV/atom
* E_form: -0.473 eV per atom
* SG: Pmmn, No. 59

a = 5.1922 Å, b = 9.7215 Å, c = 7.4593 Å
α = 90.00°, β = 90.00°, γ = 90.00°
Last column: nearest neighbours and their distance in Å.
Fractional coordinates of all 10 atoms:
Ac  0.2500  0.0513  0.2468  3 In 3.57-3.70, 3 Sn 3.58-3.63, 3 Ac 3.86-3.91
Ac  0.2500  0.2500  0.7438  2 In 3.40, 2 Sn 3.41
Ac  0.2500  0.4487  0.2468  3 In 3.57-3.70, 3 Sn 3.58-3.63, 3 Ac 3.86-3.91
Ac  0.7500  0.5513  0.7532  3 In 3.57-3.70, 3 Sn 3.58-3.63, 3 Ac 3.86-3.91
Ac  0.7500  0.7500  0.2562  2 In 3.40, 2 Sn 3.41
Ac  0.7500  0.9487  0.7532  3 In 3.57-3.70, 3 Sn 3.58-3.63, 3 Ac 3.86-3.91
In  0.2500  0.7500  0.5499  1 Sn 3.05, 2 Ac 3.40
In  0.7500  0.2500  0.4501  1 Sn 3.05, 2 Ac 3.40
Sn  0.2500  0.7500  0.9589  1 In 3.05, 2 Ac 3.41
Sn  0.7500  0.2500  0.0411  1 In 3.05, 2 Ac 3.41


# 4
Density functional theory data (PBE-GGA) for a geometry-optimized SrBPt2 structure.

Results
* E_form: -0.516 eV per atom
* SG: I4_1/amd, No. 141

a = 7.5611 Å, b = 7.5611 Å, c = 7.5611 Å
α = 139.58°, β = 139.58°, γ = 58.48°
Last column: nearest neighbours and their distance in Å.
Fractional coordinates of all 8 atoms:
Sr  0.3750  0.6250  0.7500  8 Pt 3.35, 4 B 3.69
Sr  0.6250  0.3750  0.2500  8 Pt 3.35, 4 B 3.69
B  0.1250  0.8750  0.2500  4 Pt 2.10
B  0.8750  0.1250  0.7500  4 Pt 2.10
Pt  0.0000  0.0000  0.0000  2 B 2.10
Pt  0.0000  0.0000  0.5000  2 B 2.10
Pt  0.0000  0.5000  0.0000  2 B 2.10
Pt  0.5000  0.0000  0.5000  2 B 2.10


Which formula does entry 4 have?
SrBPt2